# CaMo, relaxed, DFT PBE
data_CaMo
_chemical_formula_sum 'Ca4 Mo4'
_cell_length_a 9.452
_cell_length_b 3.500
_cell_length_c 6.317
_cell_angle_alpha 90.00
_cell_angle_beta 90.00
_cell_angle_gamma 90.00
_space_group_name_H-M_alt 'P 1'
_space_group_IT_number 1
_space_group_name_Hall 'P 1'
loop_
_atom_site_label
_atom_site_type_symbol
_atom_site_fract_x
_atom_site_fract_y
_atom_site_fract_z
_atom_site_occupancy
Ca1 Ca 0.188 0.250 0.081 1
Ca2 Ca 0.312 0.750 0.581 1
Ca3 Ca 0.688 0.250 0.419 1
Ca4 Ca 0.812 0.750 0.919 1
Mo1 Mo 0.022 0.250 0.622 1
Mo2 Mo 0.478 0.750 0.122 1
Mo3 Mo 0.522 0.250 0.878 1
Mo4 Mo 0.978 0.750 0.378 1
# - Spin magnetization: 0.000 μB/cell
# - Symmetry: Pnma, No. 62
# - VASP energy: -46.460 eV for the cell shown
# - Mass density: 4.3 Mg/m³
# - Energy above the most stable polymorph in this dataset: 0.50 eV per formula unit
# - ΔE_f: 609 meV per atom
# - DOS(E_F): 5.109 states/eV/cell

---

# Ca5Mo3, relaxed, DFT PBE
data_Ca5Mo3
_chemical_formula_sum 'Ca5 Mo3'
_cell_length_a 7.266
_cell_length_b 7.266
_cell_length_c 4.211
_cell_angle_alpha 90.00
_cell_angle_beta 90.00
_cell_angle_gamma 97.04
_space_group_name_H-M_alt 'P 1'
_space_group_IT_number 1
_space_group_name_Hall 'P 1'
loop_
_atom_site_label
_atom_site_type_symbol
_atom_site_fract_x
_atom_site_fract_y
_atom_site_fract_z
_atom_site_occupancy
Ca1 Ca 0.000 0.000 0.000 1
Ca2 Ca 0.000 0.500 0.000 1
Ca3 Ca 0.260 0.740 0.500 1
Ca4 Ca 0.500 0.000 0.000 1
Ca5 Ca 0.740 0.260 0.500 1
Mo1 Mo 0.349 0.349 0.500 1
Mo2 Mo 0.500 0.500 0.000 1
Mo3 Mo 0.651 0.651 0.500 1
# - Spin magnetization: 0.004 μB/cell
# - Symmetry: Cmmm, No. 65
# - VASP energy: -37.400 eV for the cell shown
# - Mass density: 3.7 Mg/m³
# - Energy above the most stable polymorph in this dataset: 0.00 eV per formula unit
# - ΔE_f: 638 meV per atom
# - DOS(E_F): 9.894 states/eV/cell

---

# CaMo, relaxed, DFT PBE
data_CaMo
_chemical_formula_sum 'Ca6 Mo6'
_cell_length_a 11.481
_cell_length_b 11.481
_cell_length_c 3.242
_cell_angle_alpha 90.00
_cell_angle_beta 90.00
_cell_angle_gamma 120.00
_space_group_name_H-M_alt 'P 1'
_space_group_IT_number 1
_space_group_name_Hall 'P 1'
loop_
_atom_site_label
_atom_site_type_symbol
_atom_site_fract_x
_atom_site_fract_y
_atom_site_fract_z
_atom_site_occupancy
Ca1 Ca 0.105 0.332 0.250 1
Ca2 Ca 0.226 0.895 0.250 1
Ca3 Ca 0.332 0.226 0.750 1
Ca4 Ca 0.668 0.774 0.250 1
Ca5 Ca 0.774 0.105 0.750 1
Ca6 Ca 0.895 0.668 0.750 1
Mo1 Mo 0.079 0.574 0.250 1
Mo2 Mo 0.426 0.505 0.250 1
Mo3 Mo 0.495 0.921 0.250 1
Mo4 Mo 0.505 0.079 0.750 1
Mo5 Mo 0.574 0.495 0.750 1
Mo6 Mo 0.921 0.426 0.750 1
# - Spin magnetization: 0.000 μB/cell
# - Symmetry: P6_3/m, No. 176
# - VASP energy: -65.284 eV for the cell shown
# - Mass density: 3.7 Mg/m³
# - Energy above the most stable polymorph in this dataset: 1.23 eV per formula unit
# - ΔE_f: 976 meV per atom
# - DOS(E_F): 12.827 states/eV/cell

---

# CaMo, relaxed, DFT PBE
data_CaMo
_chemical_formula_sum 'Ca2 Mo2'
_cell_length_a 4.898
_cell_length_b 4.898
_cell_length_c 4.898
_cell_angle_alpha 60.00
_cell_angle_beta 60.00
_cell_angle_gamma 60.00
_space_group_name_H-M_alt 'P 1'
_space_group_IT_number 1
_space_group_name_Hall 'P 1'
loop_
_atom_site_label
_atom_site_type_symbol
_atom_site_fract_x
_atom_site_fract_y
_atom_site_fract_z
_atom_site_occupancy
Ca1 Ca 0.125 0.125 0.125 1
Ca2 Ca 0.875 0.875 0.875 1
Mo1 Mo 0.375 0.375 0.375 1
Mo2 Mo 0.625 0.625 0.625 1
# - Spin magnetization: 0.000 μB/cell
# - Symmetry: Fd-3m, No. 227
# - VASP energy: -22.519 eV for the cell shown
# - Mass density: 5.4 Mg/m³
# - Energy above the most stable polymorph in this dataset: 0.85 eV per formula unit
# - ΔE_f: 787 meV per atom
# - DOS(E_F): 3.687 states/eV/cell

---

# CaMo, relaxed, DFT PBE
data_CaMo
_chemical_formula_sum 'Ca3 Mo3'
_cell_length_a 8.490
_cell_length_b 8.490
_cell_length_c 5.914
_cell_angle_alpha 109.76
_cell_angle_beta 109.76
_cell_angle_gamma 22.03
_space_group_name_H-M_alt 'P 1'
_space_group_IT_number 1
_space_group_name_Hall 'P 1'
loop_
_atom_site_label
_atom_site_type_symbol
_atom_site_fract_x
_atom_site_fract_y
_atom_site_fract_z
_atom_site_occupancy
Ca1 Ca 0.000 0.000 0.000 1
Ca2 Ca 0.087 0.087 0.585 1
Ca3 Ca 0.717 0.717 0.208 1
Mo1 Mo 0.361 0.361 0.115 1
Mo2 Mo 0.383 0.383 0.558 1
Mo3 Mo 0.802 0.802 0.762 1
# - Spin magnetization: 0.000 μB/cell
# - Symmetry: Cm, No. 8
# - VASP energy: -34.940 eV for the cell shown
# - Mass density: 4.5 Mg/m³
# - Energy above the most stable polymorph in this dataset: 0.46 eV per formula unit
# - ΔE_f: 593 meV per atom
# - DOS(E_F): 4.404 states/eV/cell

---

# CaMo5, relaxed, DFT PBE
data_CaMo5
_chemical_formula_sum 'Ca1 Mo5'
_cell_length_a 7.003
_cell_length_b 7.003
_cell_length_c 4.761
_cell_angle_alpha 90.00
_cell_angle_beta 90.00
_cell_angle_gamma 153.66
_space_group_name_H-M_alt 'P 1'
_space_group_IT_number 1
_space_group_name_Hall 'P 1'
loop_
_atom_site_label
_atom_site_type_symbol
_atom_site_fract_x
_atom_site_fract_y
_atom_site_fract_z
_atom_site_occupancy
Ca1 Ca 0.000 0.000 0.000 1
Mo1 Mo 0.165 0.835 0.500 1
Mo2 Mo 0.320 0.680 0.000 1
Mo3 Mo 0.500 0.500 0.500 1
Mo4 Mo 0.680 0.320 0.000 1
Mo5 Mo 0.835 0.165 0.500 1
# - Spin magnetization: 0.000 μB/cell
# - Symmetry: Cmmm, No. 65
# - VASP energy: -53.408 eV for the cell shown
# - Mass density: 8.3 Mg/m³
# - Energy above the most stable polymorph in this dataset: 0.38 eV per formula unit
# - ΔE_f: 458 meV per atom
# - DOS(E_F): 5.718 states/eV/cell

---

# CaMo, relaxed, DFT PBE
data_CaMo
_chemical_formula_sum 'Ca3 Mo3'
_cell_length_a 4.106
_cell_length_b 6.419
_cell_length_c 6.419
_cell_angle_alpha 96.75
_cell_angle_beta 90.00
_cell_angle_gamma 90.00
_space_group_name_H-M_alt 'P 1'
_space_group_IT_number 1
_space_group_name_Hall 'P 1'
loop_
_atom_site_label
_atom_site_type_symbol
_atom_site_fract_x
_atom_site_fract_y
_atom_site_fract_z
_atom_site_occupancy
Ca1 Ca 0.000 0.000 0.000 1
Ca2 Ca 0.500 0.441 0.823 1
Ca3 Ca 0.500 0.823 0.441 1
Mo1 Mo 0.000 0.202 0.487 1
Mo2 Mo 0.000 0.487 0.202 1
Mo3 Mo 0.500 0.324 0.324 1
# - Spin magnetization: 0.000 μB/cell
# - Symmetry: Amm2, No. 38
# - VASP energy: -34.694 eV for the cell shown
# - Mass density: 4.0 Mg/m³
# - Energy above the most stable polymorph in this dataset: 0.55 eV per formula unit
# - ΔE_f: 634 meV per atom
# - DOS(E_F): 5.771 states/eV/cell

---

# CaMo, relaxed, DFT PBE
data_CaMo
_chemical_formula_sum 'Ca4 Mo4'
_cell_length_a 7.091
_cell_length_b 7.091
_cell_length_c 7.091
_cell_angle_alpha 133.40
_cell_angle_beta 128.71
_cell_angle_gamma 71.80
_space_group_name_H-M_alt 'P 1'
_space_group_IT_number 1
_space_group_name_Hall 'P 1'
loop_
_atom_site_label
_atom_site_type_symbol
_atom_site_fract_x
_atom_site_fract_y
_atom_site_fract_z
_atom_site_occupancy
Ca1 Ca 0.000 0.000 0.000 1
Ca2 Ca 0.428 0.678 0.750 1
Ca3 Ca 0.500 0.000 0.500 1
Ca4 Ca 0.572 0.322 0.250 1
Mo1 Mo 0.000 0.000 0.500 1
Mo2 Mo 0.000 0.500 0.000 1
Mo3 Mo 0.173 0.423 0.750 1
Mo4 Mo 0.827 0.577 0.250 1
# - Spin magnetization: 0.000 μB/cell
# - Symmetry: Imma, No. 74
# - VASP energy: -46.243 eV for the cell shown
# - Mass density: 4.6 Mg/m³
# - Energy above the most stable polymorph in this dataset: 0.55 eV per formula unit
# - ΔE_f: 636 meV per atom
# - DOS(E_F): 12.562 states/eV/cell